# 1
YTiNbNi2, optimized geometry, DFT GGA-PBE; crystal system = tetragonal
1.0
4.592 0.000 0.000
0.000 4.592 0.000
0.000 0.000 5.118
Y Ti Nb Ni
1 1 1 2
Direct
0.000 0.000 0.000 Y
0.500 0.500 0.000 Ti
0.000 0.000 0.500 Nb
0.000 0.500 0.500 Ni
0.500 0.000 0.500 Ni

***

# 2
ZnCrPt, optimized geometry, DFT GGA-PBE; crystal system = orthorhombic
1.0
-1.427 1.870 4.110
1.427 -1.870 4.110
1.427 1.870 -4.110
Zn Cr Pt
1 1 1
Direct
0.000 0.000 0.000 Zn
0.668 0.668 0.000 Cr
0.333 0.333 0.000 Pt

***

# 3
LiPSe2, optimized geometry, DFT GGA-PBE; crystal system = monoclinic; formation energy from raw total energies = -455 meV/atom
1.0
2.713 -2.654 0.000
2.713 2.654 0.000
-1.836 0.000 6.757
Li P Se
1 1 2
Direct
0.000 0.000 0.000 Li
0.413 0.413 0.685 P
0.502 0.502 0.017 Se
0.803 0.803 0.603 Se

***

# 4
In2SiRh, optimized geometry, DFT GGA-PBE; crystal system = orthorhombic; formation energy from raw total energies = -110 meV/atom
1.0
-1.479 2.296 5.937
1.479 -2.296 5.937
1.479 2.296 -5.937
In Si Rh
2 1 1
Direct
0.000 0.000 0.000 In
0.698 0.198 0.500 In
0.385 0.385 0.000 Si
0.220 0.720 0.500 Rh

***

The records above yield DFT total energy values of -30.7, -17.4, -16.1, -18.7 eV/cell, respectively.
The records above yield theoretical density values of 5.34, 11.83, 3.34, 7.43 g/cm³, respectively.